(1)
Entry from Alexandria: NaPr2Sn3Te6 after structural relaxation (PBE).

The structure in POSCAR format:
```
NaPr2Sn3Te6
1.0
10.028 -2.239 0.000
10.028 2.239 0.000
-2.424 0.000 8.954
Na Pr Sn Te
1 2 3 6
Direct
0.000 0.000 0.000
0.333 0.333 0.658
0.667 0.667 0.342
0.000 0.000 0.500
0.341 0.341 0.153
0.659 0.659 0.847
0.167 0.167 0.593
0.174 0.174 0.093
0.497 0.497 0.744
0.503 0.503 0.256
0.826 0.826 0.907
0.833 0.833 0.407
```

- density of states at the Fermi level (states/eV per atom) = 0.341
- total DFT energy (no corrections) (eV/cell) = -50.86
- formation energy without anion corrections (meV per atom) = -760

---

(2)
Entry from Alexandria: PmMg3Pb3 after structural relaxation (PBE).

The structure in POSCAR format:
```
PmMg3Pb3
1.0
5.081 -5.474 0.000
5.081 5.474 0.000
-0.014 0.000 7.019
Pm Mg Pb
2 6 6
Direct
0.201 0.201 0.499
0.799 0.799 0.501
0.141 0.859 0.000
0.253 0.747 0.500
0.260 0.260 0.000
0.740 0.740 0.000
0.747 0.253 0.500
0.859 0.141 0.000
0.000 0.500 0.234
0.000 0.500 0.766
0.500 0.000 0.234
0.500 0.000 0.766
0.500 0.500 0.259
0.500 0.500 0.741
```

- formation energy (eV per atom) = -0.115
- density of states at the Fermi level (states/eV per atom) = 0.574
- total DFT energy (no corrections) (eV/cell) = -42.92

---

(3)
Entry from Alexandria: PmAl8Cu4 after structural relaxation (PBE).

The structure in POSCAR format:
```
PmAl8Cu4
1.0
-4.426 4.426 2.580
4.426 -4.426 2.580
4.426 4.426 -2.580
Pm Al Cu
1 8 4
Direct
0.000 0.000 0.000
0.000 0.349 0.349
0.000 0.651 0.651
0.280 0.500 0.780
0.349 0.000 0.349
0.500 0.280 0.780
0.500 0.720 0.220
0.651 0.000 0.651
0.720 0.500 0.220
0.000 0.000 0.500
0.000 0.500 0.000
0.500 0.000 0.000
0.500 0.500 0.500
```

- formation energy (eV per atom) = -0.317
- density of states at the Fermi level (states/eV per atom) = 0.253
- total DFT energy (no corrections) (eV/cell) = -55.20

---

(4)
Entry from Alexandria: TaZnCd after structural relaxation (PBE).

The structure in POSCAR format:
```
TaZnCd
1.0
4.040 0.000 0.000
0.000 4.050 0.000
0.000 0.000 13.027
Ta Zn Cd
4 4 4
Direct
0.000 0.000 0.000
0.000 0.500 0.500
0.500 0.000 0.500
0.500 0.500 0.000
0.000 0.000 0.347
0.000 0.500 0.847
0.500 0.000 0.847
0.500 0.500 0.347
0.000 0.000 0.679
0.000 0.500 0.179
0.500 0.000 0.179
0.500 0.500 0.679
```

- formation energy (eV per atom) = 0.122
- density of states at the Fermi level (states/eV per atom) = 0.531
- total DFT energy (no corrections) (eV/cell) = -54.70